# 1
This record from the Alexandria database describes crystalline Mn7Pb at its relaxed geometry. The functional is GGA-PBE.

Unit cell a=5.370 b=5.370 c=5.370 alpha=60.00 beta=60.00 gamma=60.00
Each line ends with the local moment (μB).
Sites, in units of the cell vectors:
Mn1 0.500 0.500 0.000  2.34
Mn2 0.500 0.000 0.500  2.34
Mn3 0.500 0.000 0.000  2.34
Mn4 0.000 0.000 0.500  2.34
Mn5 0.000 0.500 0.000  2.34
Mn6 0.000 0.500 0.500  2.34
Mn7 0.500 0.500 0.500  -3.07
Pb1 0.000 0.000 0.000  -0.13

---

# 2
This record from the Alexandria database describes crystalline MnPb3 at its relaxed geometry. The functional is GGA-PBE.

Unit cell a=6.754 b=6.754 c=11.135 alpha=90.00 beta=90.00 gamma=120.00
Each line ends with the local moment (μB).
Sites, in units of the cell vectors:
Pb1 0.500 0.000 0.000  -0.02
Pb2 0.500 0.000 0.500  -0.02
Pb3 0.000 0.500 0.000  -0.02
Pb4 0.500 0.500 0.000  -0.02
Pb5 0.500 0.500 0.500  -0.02
Pb6 0.000 0.500 0.500  -0.02
Pb7 0.839 0.677 0.250  -0.02
Pb8 0.161 0.323 0.750  -0.02
Pb9 0.323 0.161 0.250  -0.02
Pb10 0.839 0.161 0.250  -0.02
Pb11 0.161 0.839 0.750  -0.02
Pb12 0.677 0.839 0.750  -0.02
Mn1 0.000 0.000 0.000  4.08
Mn2 0.000 0.000 0.500  4.08
Mn3 0.333 0.667 0.250  4.10
Mn4 0.667 0.333 0.750  4.10

---

# 3
This record from the Alexandria database describes crystalline Mn2Pb at its relaxed geometry. The functional is GGA-PBE.

Unit cell a=3.780 b=3.780 c=4.299 alpha=90.00 beta=90.00 gamma=90.00
Each line ends with the local moment (μB).
Sites, in units of the cell vectors:
Mn1 0.000 0.500 0.500  3.34
Mn2 0.500 0.000 0.500  3.34
Pb1 0.000 0.000 0.000  -0.14

---

# 4
This record from the Alexandria database describes crystalline MnPb3 at its relaxed geometry. The functional is GGA-PBE.

Unit cell a=6.703 b=6.703 c=5.650 alpha=90.00 beta=90.00 gamma=120.21
Each line ends with the local moment (μB).
Sites, in units of the cell vectors:
Mn1 0.664 0.336 0.250  4.03
Mn2 0.336 0.664 0.750  4.03
Pb1 0.170 0.830 0.250  -0.04
Pb2 0.830 0.170 0.750  -0.04
Pb3 0.656 0.830 0.250  -0.05
Pb4 0.344 0.170 0.750  -0.05
Pb5 0.830 0.656 0.750  -0.05
Pb6 0.170 0.344 0.250  -0.05

---

# 5
This record from the Alexandria database describes crystalline Mn5Pb at its relaxed geometry. The functional is GGA-PBE.

Unit cell a=5.612 b=5.612 c=3.902 alpha=90.00 beta=90.00 gamma=138.98
Each line ends with the local moment (μB).
Sites, in units of the cell vectors:
Mn1 0.312 0.688 0.500  0.99
Mn2 0.187 0.813 0.000  -1.16
Mn3 0.000 0.000 0.500  3.18
Mn4 0.813 0.187 0.000  -1.16
Mn5 0.688 0.312 0.500  0.99
Pb1 0.500 0.500 0.000  -0.04

---

# 6
This record from the Alexandria database describes crystalline Mn5Pb at its relaxed geometry. The functional is GGA-PBE.

Unit cell a=4.836 b=4.836 c=4.836 alpha=60.00 beta=60.00 gamma=60.00
Each line ends with the local moment (μB).
Sites, in units of the cell vectors:
Mn1 0.250 0.250 0.250  2.86
Mn2 0.624 0.624 0.624  0.84
Mn3 0.624 0.624 0.127  0.84
Mn4 0.127 0.624 0.624  0.84
Mn5 0.624 0.127 0.624  0.84
Pb1 0.000 0.000 0.000  -0.06

---

# 7
This record from the Alexandria database describes crystalline MnPb3 at its relaxed geometry. The functional is GGA-PBE.

Unit cell a=6.655 b=6.655 c=6.655 alpha=150.10 beta=131.85 gamma=57.71
Each line ends with the local moment (μB).
Sites, in units of the cell vectors:
Mn1 0.500 0.000 0.500  3.86
Pb1 0.711 0.711 0.000  -0.02
Pb2 0.289 0.289 0.000  -0.02
Pb3 0.000 0.500 0.500  -0.04

---

# 8
This record from the Alexandria database describes crystalline Mn7Pb6 at its relaxed geometry. The functional is GGA-PBE.

Unit cell a=10.387 b=10.387 c=10.387 alpha=31.37 beta=31.37 gamma=31.37
Each line ends with the local moment (μB).
Sites, in units of the cell vectors:
Pb1 0.054 0.054 0.054  -0.11
Pb2 0.946 0.946 0.946  -0.11
Pb3 0.159 0.159 0.159  -0.09
Pb4 0.841 0.841 0.841  -0.09
Pb5 0.332 0.332 0.332  -0.06
Pb6 0.668 0.668 0.668  -0.06
Mn1 0.095 0.586 0.586  3.46
Mn2 0.586 0.095 0.586  3.46
Mn3 0.586 0.586 0.095  3.46
Mn4 0.905 0.414 0.414  3.46
Mn5 0.414 0.414 0.905  3.46
Mn6 0.414 0.905 0.414  3.46
Mn7 0.500 0.500 0.500  3.57

---

# 9
This record from the Alexandria database describes crystalline Mn2Pb at its relaxed geometry. The functional is GGA-PBE.

Unit cell a=6.577 b=6.577 c=6.577 alpha=90.00 beta=90.00 gamma=90.00
Each line ends with the local moment (μB).
Sites, in units of the cell vectors:
Pb1 0.000 0.000 0.000  -0.19
Pb2 0.500 0.500 0.000  -0.19
Pb3 0.500 0.000 0.500  -0.19
Pb4 0.000 0.500 0.500  -0.19
Mn1 0.617 0.617 0.383  3.70
Mn2 0.383 0.383 0.617  3.70
Mn3 0.117 0.883 0.617  3.70
Mn4 0.883 0.117 0.383  3.70
Mn5 0.383 0.117 0.117  3.70
Mn6 0.617 0.883 0.883  3.70
Mn7 0.883 0.383 0.883  3.70
Mn8 0.117 0.617 0.117  3.70

---

# 10
This record from the Alexandria database describes crystalline Mn3Pb at its relaxed geometry. The functional is GGA-PBE.

Unit cell a=3.167 b=3.167 c=8.256 alpha=90.00 beta=90.00 gamma=120.00
Each line ends with the local moment (μB).
Sites, in units of the cell vectors:
Mn1 0.000 0.000 0.047  3.31
Mn2 0.000 0.000 0.453  3.31
Mn3 0.667 0.333 0.250  -2.92
Pb1 0.667 0.333 0.750  -0.05

---

Ordered E_tot results: -8.090, -4.729, -6.638, -4.726, -7.940, -7.795, -4.771, -6.203, -6.312, -7.254; unit eV per atom.